# 1
First-principles (SCAN) data for K2TaRh at its PBEsol-relaxed geometry, as listed in Alexandria via LeMat-Bulk.

```
K2TaRh
1.0
3.7944 0.0000 0.0000
0.0000 3.7944 0.0000
-1.8972 -1.8972 5.9284
K Rh Ta
2 1 1
Direct
0.7500 0.2500 0.5000
0.2500 0.7500 0.5000
0.5000 0.5000 0.0000
0.0000 0.0000 0.0000
```

Excess energy over the best structure of this formula in the dataset   458.2 meV/atom

***

# 2
First-principles (SCAN) data for CsSn2BiPd at its PBEsol-relaxed geometry, as listed in Alexandria via LeMat-Bulk.

```
CsSn2BiPd
1.0
-3.5541 -1.5749 -4.4454
4.6215 -0.0534 -3.6760
0.9611 -5.8179 1.2928
Cs Bi Pd Sn
1 1 1 2
Direct
0.0000 0.0000 0.0000
0.0000 0.0000 0.5000
0.5000 0.5000 0.5000
0.0000 0.5000 0.0000
0.5000 0.0000 0.0000
```

***

Short version: calculated volume = 85; 211 Å³/cell, in the order given.
Short version: E_form = 0.925; 1.917 eV/atom, in the order given.
Short version: calculated total energy = -2.082; -3.108 Ry/atom, in the order given.